VASP calculation (PBE with a Hubbard U) on crystalline CrGaAs2O8 at its relaxed geometry.

Unit cell a=6.5213 b=6.5213 c=6.2509 alpha=90.00 beta=90.00 gamma=90.00
Closest atoms and distances in Å follow each position.
Space group I-4m2 (No. 119)
One atom of each set of equivalent atoms:
Cr 0.0000 0.0000 0.0000  4 O 2.06
Ga 0.0000 0.5000 0.2500  8 O 2.04-2.29
As 0.0000 0.0000 0.5000  4 O 1.72
As 0.0000 0.5000 0.7500  4 O 1.73
O 0.0000 0.1926 0.3117  1 As 1.72
O 0.0000 0.3103 0.9425  1 As 1.73

## Properties
* total moment: 0.250 μB per atom
* calculated total energy: -6.205 eV/atom